(1)
A relaxed structure of Na2CdH, computed with PBE-GGA.

Cell: 7.143 7.143 7.195 Å, 90.00 90.00 90.00°
Space group I-42d (No. 122)
Unique sites:
Na 0.135 0.250 0.125
Cd 0.000 0.000 0.500
H 0.000 0.000 0.000

Summary:
- magnetic moment (μB/cell) = 0.00
- electronic total energy (eV per atom) = -1.70

***

(2)
A relaxed structure of Tb3SmTl3, computed with PBE-GGA.

Cell: 9.5039 9.5039 5.2419 Å, 90.00 90.00 120.00°
Space group P6_3/m (No. 176)
Unique sites:
Tb 0.9998 0.2342 0.2500
Sm 0.3333 0.6667 0.2500
Tl 0.0703 0.4488 0.7500

Summary:
- magnetic moment (μB/cell) = 0.00
- electronic total energy (eV per atom) = -3.92

***

(3)
A relaxed structure of MgGeH, computed with PBE-GGA.

Cell: 9.793 4.073 6.164 Å, 90.00 128.82 90.00°
Space group C2/m (No. 12)
Unique sites:
Mg 0.217 0.000 0.217
Ge 0.000 0.500 0.216
H 0.000 0.000 0.204

Summary:
- magnetic moment (μB/cell) = 0.00
- electronic total energy (eV per atom) = -3.10

***

(4)
A relaxed structure of U2ZnGa6, computed with PBE-GGA.

Cell: 4.597 4.597 8.397 Å, 90.00 90.00 90.00°
Space group P4/mmm (No. 123)
Unique sites:
U 0.000 0.000 0.249
Zn 0.500 0.500 0.500
Ga 0.000 0.500 0.000
Ga 0.000 0.500 0.500
Ga 0.500 0.500 0.197

Summary:
- magnetic moment (μB/cell) = 5.26
- electronic total energy (eV per atom) = -4.62

***

(5)
A relaxed structure of RbBaMn2Be, computed with PBE-GGA.

Cell: 4.967 4.967 5.869 Å, 90.00 90.00 90.00°
Space group P4/mmm (No. 123)
Unique sites:
Rb 0.000 0.000 0.000
Ba 0.500 0.500 0.000
Mn 0.000 0.500 0.500
Be 0.500 0.500 0.500

Summary:
- magnetic moment (μB/cell) = 7.75
- electronic total energy (eV per atom) = -4.08

***

(6)
A relaxed structure of Ba3LiTl2, computed with PBE-GGA.

Cell: 4.345 4.345 12.876 Å, 90.00 90.00 90.00°
Space group P4/mmm (No. 123)
Unique sites:
Ba 0.000 0.000 0.000
Ba 0.000 0.000 0.321
Li 0.500 0.500 0.500
Tl 0.500 0.500 0.162

Summary:
- magnetic moment (μB/cell) = 0.00
- electronic total energy (eV per atom) = -2.35

***

(7)
A relaxed structure of ThZn3Ge3, computed with PBE-GGA.

Cell: 6.775 6.775 6.775 Å, 90.00 90.00 90.00°
Space group Pm-3n (No. 223)
Unique sites:
Th 0.000 0.000 0.000
Zn 0.000 0.250 0.500
Ge 0.000 0.500 0.250

Summary:
- magnetic moment (μB/cell) = 0.00
- electronic total energy (eV per atom) = -3.37

***

(8)
A relaxed structure of Ac2PmMg2, computed with PBE-GGA.

Cell: 4.028 22.183 3.956 Å, 90.00 90.00 90.00°
Space group Cmmm (No. 65)
Unique sites:
Ac 0.000 0.176 0.000
Pm 0.000 0.000 0.000
Mg 0.000 0.421 0.500

Summary:
- magnetic moment (μB/cell) = 0.00
- electronic total energy (eV per atom) = -3.22

***

(9)
A relaxed structure of BaAcCeN3, computed with PBE-GGA.

Cell: 6.550 3.918 9.701 Å, 90.00 102.34 90.00°
Space group P2_1/m (No. 11)
Unique sites:
Ba 0.146 0.250 0.189
Ac 0.262 0.750 0.542
Ce 0.370 0.250 0.850
N 0.071 0.250 0.666
N 0.307 0.750 0.966
N 0.460 0.750 0.335

Summary:
- magnetic moment (μB/cell) = 0.00
- formation energy (no corrections) (eV/atom) = -1.044

***

(10)
A relaxed structure of CaAlZn2Au, computed with PBE-GGA.

Cell: 4.070 4.271 11.512 Å, 90.00 90.00 90.00°
Space group Imm2 (No. 44)
Unique sites:
Ca 0.000 0.000 0.000
Al 0.000 0.500 0.747
Zn 0.000 0.000 0.612
Zn 0.000 0.500 0.248
Au 0.000 0.000 0.388

Summary:
- magnetic moment (μB/cell) = 0.00
- electronic total energy (eV per atom) = -2.73

***

(11)
A relaxed structure of AcPm6Nd8, computed with PBE-GGA.

Cell: 6.4202 6.4202 44.8899 Å, 90.00 90.00 120.00°
Space group R-3 (No. 148, hexagonal axes)
Unique sites:
Ac 0.0000 0.0000 0.0000
Pm 0.9999 0.3358 0.9325
Nd 0.0000 0.0000 0.3333
Nd 0.0000 0.3332 0.1334

Summary:
- magnetic moment (μB/cell) = 0.00
- electronic total energy (eV per atom) = -4.70

***

(12)
A relaxed structure of BaNi2Ru, computed with PBE-GGA.

Cell: 7.282 4.206 6.116 Å, 90.00 113.45 90.00°
Space group Cm (No. 8)
Unique sites:
Ba 0.000 0.000 0.000
Ni 0.319 0.500 0.454
Ni 0.499 0.000 0.494
Ru 0.183 0.000 0.547

Summary:
- magnetic moment (μB/cell) = 0.85
- electronic total energy (eV per atom) = -5.55

***

Look up the magnetic moment of the fifth one. 7.75 μB/cell